# 1
# MgAgP (GGA-PBE, optimized geometry)
data_MgAgP
_cell_length_a 4.6480
_cell_length_b 4.6480
_cell_length_c 5.6281
_cell_angle_alpha 90.00
_cell_angle_beta 90.00
_cell_angle_gamma 120.00
_symmetry_space_group_name_H-M 'P 63/m m c'
_symmetry_Int_Tables_number 194
_symmetry_space_group_name_Hall '-P 6c 2c'
loop_
_atom_site_label
_atom_site_fract_x
_atom_site_fract_y
_atom_site_fract_z
Mg1 0.3333 0.6667 0.2500
Ag1 0.0000 0.0000 0.0000
P1 0.3333 0.6667 0.7500
# DFT formation energy: -154.0 meV/atom



# 2
# Np2GaNiS5 (GGA-PBE, optimized geometry)
data_Np2GaNiS5
_cell_length_a 3.8086
_cell_length_b 16.7034
_cell_length_c 11.0133
_cell_angle_alpha 90.00
_cell_angle_beta 90.00
_cell_angle_gamma 90.00
_symmetry_space_group_name_H-M 'C m c 21'
_symmetry_Int_Tables_number 36
loop_
_symmetry_equiv_pos_as_xyz
'x,y,z'
'-x,-y,z+1/2'
'-x,y,z'
'x,-y,z+1/2'
'x+1/2,y+1/2,z'
'-x+1/2,-y+1/2,z+1/2'
'-x+1/2,y+1/2,z'
'x+1/2,-y+1/2,z+1/2'
loop_
_atom_site_label
_atom_site_fract_x
_atom_site_fract_y
_atom_site_fract_z
Np1 0.0000 0.1135 0.0000
Np2 0.0000 0.1197 0.6263
Ga1 0.0000 0.4049 0.7981
Ni1 0.0000 0.2564 0.4506
S1 0.0000 0.0382 0.3876
S2 0.0000 0.3041 0.6495
S3 0.0000 0.3078 0.9698
S4 0.0000 0.3571 0.3199
S5 0.0000 0.4928 0.6132
# E_form (uncorrected): -0.98 eV per atom



# 3
# Al2PF (GGA-PBE, optimized geometry)
data_Al2PF
_cell_length_a 4.6194
_cell_length_b 4.6194
_cell_length_c 12.8492
_cell_angle_alpha 90.00
_cell_angle_beta 90.00
_cell_angle_gamma 90.00
_symmetry_space_group_name_H-M 'I -4 2 d'
_symmetry_Int_Tables_number 122
_symmetry_space_group_name_Hall 'I -4 2bw'
loop_
_atom_site_label
_atom_site_fract_x
_atom_site_fract_y
_atom_site_fract_z
Al1 0.1918 0.2500 0.1250
P1 0.0000 0.0000 0.5000
F1 0.0000 0.0000 0.0000
# energy above the lowest structure with this stoichiometry: 0.000 eV per atom
# E_form (uncorrected): -0.76 eV per atom



# 4
# Sr2MoCl (GGA-PBE, optimized geometry)
data_Sr2MoCl
_cell_length_a 5.8952
_cell_length_b 5.8952
_cell_length_c 3.8250
_cell_angle_alpha 90.00
_cell_angle_beta 90.00
_cell_angle_gamma 90.00
_symmetry_space_group_name_H-M 'P 4 m m'
_symmetry_Int_Tables_number 99
loop_
_symmetry_equiv_pos_as_xyz
'x,y,z'
'-y,x,z'
'-x,-y,z'
'y,-x,z'
'-x,y,z'
'y,x,z'
'x,-y,z'
'-y,-x,z'
loop_
_atom_site_label
_atom_site_fract_x
_atom_site_fract_y
_atom_site_fract_z
Sr1 0.0000 0.5000 0.0000
Mo1 0.0000 0.0000 0.5023
Cl1 0.5000 0.5000 0.9725
# energy above the lowest structure with this stoichiometry: 0.125 eV per atom
# E_form (uncorrected): 0.03 eV per atom



# 5
# TcPIrS2 (GGA-PBE, optimized geometry)
data_TcPIrS2
_cell_length_a 4.8524
_cell_length_b 4.8524
_cell_length_c 4.3685
_cell_angle_alpha 90.00
_cell_angle_beta 90.00
_cell_angle_gamma 90.00
_symmetry_space_group_name_H-M 'P 4/m m m'
_symmetry_Int_Tables_number 123
_symmetry_space_group_name_Hall '-P 4 2'
loop_
_atom_site_label
_atom_site_fract_x
_atom_site_fract_y
_atom_site_fract_z
Tc1 0.0000 0.0000 0.0000
P1 0.5000 0.5000 0.0000
Ir1 0.5000 0.5000 0.5000
S1 0.0000 0.5000 0.5000
# energy above the lowest structure with this stoichiometry: 0.000 eV per atom
# E_form (uncorrected): 1.06 eV per atom



# 6
# DyFe2Si2C (GGA-PBE, optimized geometry)
data_DyFe2Si2C
_cell_length_a 3.8798
_cell_length_b 3.8798
_cell_length_c 5.1611
_cell_angle_alpha 90.00
_cell_angle_beta 90.00
_cell_angle_gamma 90.00
_symmetry_space_group_name_H-M 'P 4/m m m'
_symmetry_Int_Tables_number 123
_symmetry_space_group_name_Hall '-P 4 2'
loop_
_atom_site_label
_atom_site_fract_x
_atom_site_fract_y
_atom_site_fract_z
Dy1 0.0000 0.0000 0.0000
Fe1 0.0000 0.5000 0.5000
Si1 0.5000 0.5000 0.2293
C1 0.0000 0.0000 0.5000
# E_form (uncorrected): -0.42 eV per atom



# 7
# U2Ge3Pt2 (GGA-PBE, optimized geometry)
data_U2Ge3Pt2
_cell_length_a 4.3194
_cell_length_b 18.3381
_cell_length_c 6.8872
_cell_angle_alpha 90.00
_cell_angle_beta 90.00
_cell_angle_gamma 90.00
_symmetry_space_group_name_H-M 'C m c m'
_symmetry_Int_Tables_number 63
_symmetry_space_group_name_Hall '-C 2c 2'
loop_
_atom_site_label
_atom_site_fract_x
_atom_site_fract_y
_atom_site_fract_z
U1 0.0000 0.0497 0.2500
U2 0.0000 0.1523 0.7500
Ge1 0.0000 0.2151 0.2500
Ge2 0.0000 0.4373 0.0618
Pt1 0.0000 0.3047 0.5409
# DFT formation energy: -457.4 meV/atom



# 8
# Hf3MnCo (GGA-PBE, optimized geometry)
data_Hf3MnCo
_cell_length_a 4.6842
_cell_length_b 4.6842
_cell_length_c 4.6842
_cell_angle_alpha 90.00
_cell_angle_beta 90.00
_cell_angle_gamma 90.00
_symmetry_space_group_name_H-M 'P m -3 m'
_symmetry_Int_Tables_number 221
_symmetry_space_group_name_Hall '-P 4 2 3'
loop_
_atom_site_label
_atom_site_fract_x
_atom_site_fract_y
_atom_site_fract_z
Hf1 0.0000 0.0000 0.5000
Mn1 0.5000 0.5000 0.5000
Co1 0.0000 0.0000 0.0000
# energy above the lowest structure with this stoichiometry: 0.000 eV per atom
# DFT formation energy: 666.9 meV/atom



# 9
# AcPmAg2 (GGA-PBE, optimized geometry)
data_AcPmAg2
_cell_length_a 4.2019
_cell_length_b 4.2019
_cell_length_c 24.8415
_cell_angle_alpha 90.00
_cell_angle_beta 90.00
_cell_angle_gamma 120.00
_symmetry_space_group_name_H-M 'R -3 m'
_symmetry_Int_Tables_number 166
_symmetry_space_group_name_Hall '-R 3 2"'
loop_
_atom_site_label
_atom_site_fract_x
_atom_site_fract_y
_atom_site_fract_z
Ac1 0.0000 0.0000 0.0000
Pm1 0.0000 0.0000 0.5000
Ag1 0.0000 0.0000 0.2445
# energy above the lowest structure with this stoichiometry: 0.202 eV per atom
# DFT formation energy: -59.9 meV/atom



# 10
# MgInIBr2 (GGA-PBE, optimized geometry)
data_MgInIBr2
_cell_length_a 5.2761
_cell_length_b 5.2761
_cell_length_c 5.9291
_cell_angle_alpha 90.00
_cell_angle_beta 90.00
_cell_angle_gamma 90.00
_symmetry_space_group_name_H-M 'P 4/m m m'
_symmetry_Int_Tables_number 123
_symmetry_space_group_name_Hall '-P 4 2'
loop_
_atom_site_label
_atom_site_fract_x
_atom_site_fract_y
_atom_site_fract_z
Mg1 0.0000 0.0000 0.0000
In1 0.5000 0.5000 0.5000
I1 0.0000 0.0000 0.5000
Br1 0.0000 0.5000 0.0000
# energy above the lowest structure with this stoichiometry: 0.046 eV per atom
# E_form (uncorrected): -0.95 eV per atom



# 11
# ThMgGa2Cu2 (GGA-PBE, optimized geometry)
data_ThMgGa2Cu2
_cell_length_a 4.2737
_cell_length_b 4.2737
_cell_length_c 7.0266
_cell_angle_alpha 90.00
_cell_angle_beta 90.00
_cell_angle_gamma 120.00
_symmetry_space_group_name_H-M 'P -3 m 1'
_symmetry_Int_Tables_number 164
_symmetry_space_group_name_Hall '-P 3 2"'
loop_
_atom_site_label
_atom_site_fract_x
_atom_site_fract_y
_atom_site_fract_z
Th1 0.0000 0.0000 0.0000
Mg1 0.0000 0.0000 0.5000
Ga1 0.3333 0.6667 0.7175
Cu1 0.3333 0.6667 0.3048
# DFT formation energy: -366.1 meV/atom



# 12
# LiTaW2 (GGA-PBE, optimized geometry)
data_LiTaW2
_cell_length_a 3.1548
_cell_length_b 4.4568
_cell_length_c 9.4649
_cell_angle_alpha 90.00
_cell_angle_beta 90.00
_cell_angle_gamma 90.00
_symmetry_space_group_name_H-M 'C m m m'
_symmetry_Int_Tables_number 65
_symmetry_space_group_name_Hall '-C 2 2'
loop_
_atom_site_label
_atom_site_fract_x
_atom_site_fract_y
_atom_site_fract_z
Li1 0.0000 0.0000 0.0000
Ta1 0.0000 0.0000 0.5000
W1 0.0000 0.5000 0.2533
# energy above the lowest structure with this stoichiometry: 0.030 eV per atom
# DFT formation energy: 282.0 meV/atom



# 13
# LaCdO (GGA-PBE, optimized geometry)
data_LaCdO
_cell_length_a 3.4841
_cell_length_b 3.4841
_cell_length_c 10.2227
_cell_angle_alpha 90.00
_cell_angle_beta 90.00
_cell_angle_gamma 90.00
_symmetry_space_group_name_H-M 'P 4/n m m'
_symmetry_Int_Tables_number 129
loop_
_symmetry_equiv_pos_as_xyz
'x,y,z'
'-x,-y,-z'
'-y+1/2,x,z'
'y+1/2,-x,-z'
'-x+1/2,-y+1/2,z'
'x+1/2,y+1/2,-z'
'y,-x+1/2,z'
'-y,x+1/2,-z'
'x+1/2,-y,-z'
'-x+1/2,y,z'
'-y,-x,-z'
'y,x,z'
'-x,y+1/2,-z'
'x,-y+1/2,z'
'y+1/2,x+1/2,-z'
'-y+1/2,-x+1/2,z'
loop_
_atom_site_label
_atom_site_fract_x
_atom_site_fract_y
_atom_site_fract_z
La1 0.2500 0.2500 0.1478
Cd1 0.2500 0.2500 0.5862
O1 0.2500 0.2500 0.9116
# energy above the lowest structure with this stoichiometry: 0.129 eV per atom
# E_form (uncorrected): -1.93 eV per atom



# 14
# NaH3Pb (GGA-PBE, optimized geometry)
data_NaH3Pb
_cell_length_a 4.0407
_cell_length_b 4.0407
_cell_length_c 4.0407
_cell_angle_alpha 90.00
_cell_angle_beta 90.00
_cell_angle_gamma 90.00
_symmetry_space_group_name_H-M 'P m -3 m'
_symmetry_Int_Tables_number 221
_symmetry_space_group_name_Hall '-P 4 2 3'
loop_
_atom_site_label
_atom_site_fract_x
_atom_site_fract_y
_atom_site_fract_z
Na1 0.0000 0.0000 0.0000
H1 0.0000 0.0000 0.5000
Pb1 0.5000 0.5000 0.5000
# energy above the lowest structure with this stoichiometry: 0.167 eV per atom



# 15
# Sr2BiOsO6 (GGA-PBE, optimized geometry)
data_Sr2BiOsO6
_cell_length_a 5.9469
_cell_length_b 5.9469
_cell_length_c 4.5841
_cell_angle_alpha 90.00
_cell_angle_beta 90.00
_cell_angle_gamma 90.00
_symmetry_space_group_name_H-M 'P 4 m m'
_symmetry_Int_Tables_number 99
loop_
_symmetry_equiv_pos_as_xyz
'x,y,z'
'-y,x,z'
'-x,-y,z'
'y,-x,z'
'-x,y,z'
'y,x,z'
'x,-y,z'
'-y,-x,z'
loop_
_atom_site_label
_atom_site_fract_x
_atom_site_fract_y
_atom_site_fract_z
Sr1 0.0000 0.5000 0.0000
Bi1 0.0000 0.0000 0.5673
Os1 0.5000 0.5000 0.5915
O1 0.0000 0.0000 0.0780
O2 0.2707 0.2707 0.6660
O3 0.5000 0.5000 0.1765
# E_form (uncorrected): -1.70 eV per atom



# 16
# RbTcO3F (GGA-PBE, optimized geometry)
data_RbTcO3F
_cell_length_a 9.5315
_cell_length_b 14.9315
_cell_length_c 5.3128
_cell_angle_alpha 90.00
_cell_angle_beta 123.76
_cell_angle_gamma 90.00
_symmetry_space_group_name_H-M 'C 1 2/c 1'
_symmetry_Int_Tables_number 15
loop_
_symmetry_equiv_pos_as_xyz
'x,y,z'
'-x,-y,-z'
'-x,y,-z+1/2'
'x,-y,z+1/2'
'x+1/2,y+1/2,z'
'-x+1/2,-y+1/2,-z'
'-x+1/2,y+1/2,-z+1/2'
'x+1/2,-y+1/2,z+1/2'
loop_
_atom_site_label
_atom_site_fract_x
_atom_site_fract_y
_atom_site_fract_z
Rb1 0.0000 0.0925 0.2500
Tc1 0.0000 0.4526 0.7500
O1 0.0000 0.3394 0.7500
O2 0.1524 0.5000 0.1519
F1 0.0000 0.0891 0.7500
# E_form (uncorrected): -1.64 eV per atom



# 17
# ZrCrTc4 (GGA-PBE, optimized geometry)
data_ZrCrTc4
_cell_length_a 7.3328
_cell_length_b 7.3328
_cell_length_c 7.3328
_cell_angle_alpha 90.00
_cell_angle_beta 90.00
_cell_angle_gamma 90.00
_symmetry_space_group_name_H-M 'F -4 3 m'
_symmetry_Int_Tables_number 216
_symmetry_space_group_name_Hall 'F -4 2 3'
loop_
_atom_site_label
_atom_site_fract_x
_atom_site_fract_y
_atom_site_fract_z
Zr1 0.0000 0.0000 0.0000
Cr1 0.2500 0.2500 0.7500
Tc1 0.1246 0.1246 0.3754
# DFT formation energy: 66.3 meV/atom



# 18
# CuSiHg2S4 (GGA-PBE, optimized geometry)
data_CuSiHg2S4
_cell_length_a 7.2322
_cell_length_b 7.7328
_cell_length_c 6.4325
_cell_angle_alpha 90.00
_cell_angle_beta 90.00
_cell_angle_gamma 90.00
_symmetry_space_group_name_H-M 'P m n 21'
_symmetry_Int_Tables_number 31
loop_
_symmetry_equiv_pos_as_xyz
'x,y,z'
'-x+1/2,-y,z+1/2'
'-x,y,z'
'x+1/2,-y,z+1/2'
loop_
_atom_site_label
_atom_site_fract_x
_atom_site_fract_y
_atom_site_fract_z
Cu1 0.0000 0.1125 0.0000
Si1 0.0000 0.8206 0.4826
Hg1 0.2049 0.3433 0.4940
S1 0.0000 0.0615 0.6400
S2 0.0000 0.8386 0.1439
S3 0.2467 0.3072 0.0711
# E_form (uncorrected): -0.22 eV per atom



# 19
# Th2NpSi2Ir7 (GGA-PBE, optimized geometry)
data_Th2NpSi2Ir7
_cell_length_a 5.7118
_cell_length_b 5.6849
_cell_length_c 13.7156
_cell_angle_alpha 90.00
_cell_angle_beta 97.23
_cell_angle_gamma 90.00
_symmetry_space_group_name_H-M 'C 1 2/m 1'
_symmetry_Int_Tables_number 12
loop_
_symmetry_equiv_pos_as_xyz
'x,y,z'
'-x,-y,-z'
'-x,y,-z'
'x,-y,z'
'x+1/2,y+1/2,z'
'-x+1/2,-y+1/2,-z'
'-x+1/2,y+1/2,-z'
'x+1/2,-y+1/2,z'
loop_
_atom_site_label
_atom_site_fract_x
_atom_site_fract_y
_atom_site_fract_z
Th1 0.1014 0.0000 0.3515
Np1 0.0000 0.0000 0.0000
Si1 0.0759 0.5000 0.2487
Ir1 0.0000 0.5000 0.0000
Ir2 0.1155 0.5000 0.4212
Ir3 0.2043 0.2504 0.8494
# E_form (uncorrected): -0.76 eV per atom



Number 1: density 5.1 g/cm3. Number 2: density 7.2 g/cm3. Number 3: density 2.5 g/cm3. Number 4: density 3.8 g/cm3. Number 5: density 6.2 g/cm3. Number 6: density 7.3 g/cm3. Number 7: density 13.2 g/cm3. Number 8: density 10.5 g/cm3. Number 9: density 7.7 g/cm3. Number 10: density 4.3 g/cm3. Number 11: density 7.8 g/cm3. Number 12: density 13.9 g/cm3. Number 13: density 7.2 g/cm3. Number 14: density 5.9 g/cm3. Number 15: density 6.9 g/cm3. Number 16: density 2.6 g/cm3. Number 17: density 9.0 g/cm3. Number 18: density 5.7 g/cm3. Number 19: density 15.8 g/cm3.